No. 1
A plane-wave DFT calculation with PBEsol was carried out for crystalline GaBr2 at its relaxed geometry.

Properties
formation energy from raw total energies	-0.699	eV/atom
uncorrected energy	-3.059	eV/atom

Cell and atoms, written as CIF:
```
data_GaBr2
_chemical_formula_sum 'Ga36 Br72'
_cell_length_a 21.1618
_cell_length_b 21.1618
_cell_length_c 8.4398
_cell_angle_alpha 90.00
_cell_angle_beta 90.00
_cell_angle_gamma 120.00
_symmetry_space_group_name_H-M 'R 3 c'
_symmetry_Int_Tables_number 161
_symmetry_space_group_name_Hall 'R 3 -2"c'
loop_
_atom_site_label
_atom_site_type_symbol
_atom_site_fract_x
_atom_site_fract_y
_atom_site_fract_z
Ga1 Ga 0.1281 0.4489 0.0000
Ga2 Ga 0.1503 0.4675 0.4616
Br1 Br 0.0096 0.2731 0.9866
Br2 Br 0.0844 0.2160 0.6292
Br3 Br 0.1184 0.0488 0.9060
Br4 Br 0.1599 0.3788 0.3129
```

---

No. 2
A plane-wave DFT calculation with PBEsol was carried out for crystalline GaGe3Br at its relaxed geometry.

Properties
formation energy from raw total energies	0.614	eV/atom
uncorrected energy	-3.391	eV/atom

Cell and atoms, written as CIF:
```
data_GaGe3Br
_chemical_formula_sum 'Ga1 Ge3 Br1'
_cell_length_a 4.9676
_cell_length_b 4.9676
_cell_length_c 4.9676
_cell_angle_alpha 90.00
_cell_angle_beta 90.00
_cell_angle_gamma 90.00
_symmetry_space_group_name_H-M 'P m -3 m'
_symmetry_Int_Tables_number 221
_symmetry_space_group_name_Hall '-P 4 2 3'
loop_
_atom_site_label
_atom_site_type_symbol
_atom_site_fract_x
_atom_site_fract_y
_atom_site_fract_z
Ga1 Ga 0.0000 0.0000 0.0000
Ge1 Ge 0.0000 0.0000 0.5000
Br1 Br 0.5000 0.5000 0.5000
```

---

No. 3
A plane-wave DFT calculation with PBEsol was carried out for crystalline GaHSeBr2 at its relaxed geometry.

Properties
uncorrected energy	-2.454	eV/atom

Cell and atoms, written as CIF:
```
data_GaHSeBr2
_chemical_formula_sum 'Ga1 H1 Se1 Br2'
_cell_length_a 5.1633
_cell_length_b 5.1633
_cell_length_c 4.8707
_cell_angle_alpha 90.00
_cell_angle_beta 90.00
_cell_angle_gamma 90.00
_symmetry_space_group_name_H-M 'P 4/m m m'
_symmetry_Int_Tables_number 123
_symmetry_space_group_name_Hall '-P 4 2'
loop_
_atom_site_label
_atom_site_type_symbol
_atom_site_fract_x
_atom_site_fract_y
_atom_site_fract_z
Ga1 Ga 0.0000 0.0000 0.0000
H1 H 0.5000 0.5000 0.5000
Se1 Se 0.0000 0.0000 0.5000
Br1 Br 0.0000 0.5000 0.0000
```

---

no.,V (Å³/f.u.)
1,91
2,123
3,130